## one
Entry from Alexandria via LeMat-Bulk: a relaxed GaP2IO crystal (GGA-PBE).

Structure (POSCAR):
```
GaP2IO
1.0
5.032 0.000 0.000
0.000 5.032 0.000
0.000 0.000 3.699
Ga P I O
1 2 1 1
direct
0.000 0.000 0.000
0.000 0.500 0.000
0.500 0.000 0.000
0.500 0.500 0.500
0.000 0.000 0.500
```

Calculated values
size of the total moment = 0.0 μB/f.u.
space-group type = P4/mmm


## two
Entry from Alexandria via LeMat-Bulk: a relaxed GaP2IO crystal (GGA-PBE).

Structure (POSCAR):
```
GaP2IO
1.0
5.219 0.000 0.000
0.000 5.219 0.000
0.000 0.000 3.955
Ga P I O
1 2 1 1
direct
0.000 0.000 0.000
0.000 0.500 0.500
0.500 0.000 0.500
0.500 0.500 0.500
0.500 0.500 0.000
```

Calculated values
size of the total moment = 0.0 μB/f.u.
space-group type = P4/mmm


Most stable of them? one.


## one
Entry from Alexandria via LeMat-Bulk: a relaxed GaReI2O crystal (GGA-PBE).

Structure (POSCAR):
```
GaReI2O
1.0
5.815 0.000 0.000
0.000 5.815 0.000
0.000 0.000 3.581
Ga Re I O
1 1 2 1
direct
0.000 0.000 0.000
0.500 0.500 0.500
0.000 0.500 0.000
0.500 0.000 0.000
0.000 0.000 0.500
```

Calculated values
size of the total moment = 4.4 μB/f.u.
space-group type = P4/mmm


## two
Entry from Alexandria via LeMat-Bulk: a relaxed GaReI2O crystal (GGA-PBE).

Structure (POSCAR):
```
GaReI2O
1.0
5.691 0.000 0.000
0.000 5.691 0.000
0.000 0.000 3.799
Ga Re I O
1 1 2 1
direct
0.000 0.000 0.000
0.500 0.500 0.500
0.000 0.500 0.500
0.500 0.000 0.500
0.500 0.500 0.000
```

Calculated values
size of the total moment = 0.0 μB/f.u.
space-group type = P4/mmm


Most stable of them? two.


## one
Entry from Alexandria via LeMat-Bulk: a relaxed GaRhIO2 crystal (GGA-PBE).

Structure (POSCAR):
```
GaRhIO2
1.0
4.044 0.000 0.000
0.000 4.044 0.000
0.000 0.000 5.689
Ga Rh I O
1 1 1 2
direct
0.000 0.000 0.000
0.500 0.500 0.500
0.500 0.500 0.000
0.000 0.500 0.500
0.500 0.000 0.500
```

Calculated values
size of the total moment = 2.1 μB/f.u.
space-group type = P4/mmm


## two
Entry from Alexandria via LeMat-Bulk: a relaxed GaRhIO2 crystal (GGA-PBE).

Structure (POSCAR):
```
GaRhIO2
1.0
3.759 0.000 0.000
0.000 3.759 0.000
0.000 0.000 6.791
Ga Rh I O
1 1 1 2
direct
0.000 0.000 0.000
0.500 0.500 0.500
0.000 0.000 0.500
0.000 0.500 0.000
0.500 0.000 0.000
```

Calculated values
size of the total moment = 1.6 μB/f.u.
space-group type = P4/mmm


Most stable of them? two.


## one
Entry from Alexandria via LeMat-Bulk: a relaxed GaRuI2O crystal (GGA-PBE).

Structure (POSCAR):
```
GaRuI2O
1.0
5.529 0.000 0.000
0.000 5.529 0.000
0.000 0.000 3.535
Ga Ru I O
1 1 2 1
direct
0.000 0.000 0.000
0.500 0.500 0.500
0.000 0.500 0.000
0.500 0.000 0.000
0.000 0.000 0.500
```

Calculated values
size of the total moment = 0.0 μB/f.u.
space-group type = P4/mmm


## two
Entry from Alexandria via LeMat-Bulk: a relaxed GaRuI2O crystal (GGA-PBE).

Structure (POSCAR):
```
GaRuI2O
1.0
5.598 0.000 0.000
0.000 5.598 0.000
0.000 0.000 3.784
Ga Ru I O
1 1 2 1
direct
0.000 0.000 0.000
0.500 0.500 0.500
0.000 0.500 0.500
0.500 0.000 0.500
0.500 0.500 0.000
```

Calculated values
size of the total moment = 0.2 μB/f.u.
space-group type = P4/mmm


Most stable of them? two.


## one
Entry from Alexandria via LeMat-Bulk: a relaxed GaRuIO2 crystal (GGA-PBE).

Structure (POSCAR):
```
GaRuIO2
1.0
3.964 0.000 0.000
0.000 3.964 0.000
0.000 0.000 5.830
Ga Ru I O
1 1 1 2
direct
0.000 0.000 0.000
0.500 0.500 0.500
0.500 0.500 0.000
0.000 0.500 0.500
0.500 0.000 0.500
```

Calculated values
size of the total moment = 0.3 μB/f.u.
space-group type = P4/mmm


## two
Entry from Alexandria via LeMat-Bulk: a relaxed GaRuIO2 crystal (GGA-PBE).

Structure (POSCAR):
```
GaRuIO2
1.0
3.778 0.000 0.000
0.000 3.778 0.000
0.000 0.000 6.550
Ga Ru I O
1 1 1 2
direct
0.000 0.000 0.000
0.500 0.500 0.500
0.000 0.000 0.500
0.000 0.500 0.000
0.500 0.000 0.000
```

Calculated values
size of the total moment = 2.7 μB/f.u.
space-group type = P4/mmm


Most stable of them? one.


## one
Entry from Alexandria via LeMat-Bulk: a relaxed GaSiI2O crystal (GGA-PBE).

Structure (POSCAR):
```
GaSiI2O
1.0
5.787 0.000 0.000
0.000 5.787 0.000
0.000 0.000 3.646
Ga Si I O
1 1 2 1
direct
0.000 0.000 0.000
0.500 0.500 0.500
0.000 0.500 0.000
0.500 0.000 0.000
0.000 0.000 0.500
```

Calculated values
size of the total moment = 0.3 μB/f.u.
space-group type = P4/mmm


## two
Entry from Alexandria via LeMat-Bulk: a relaxed GaSiI2O crystal (GGA-PBE).

Structure (POSCAR):
```
GaSiI2O
1.0
5.853 0.000 0.000
0.000 5.853 0.000
0.000 0.000 3.578
Ga Si I O
1 1 2 1
direct
0.000 0.000 0.000
0.500 0.500 0.500
0.000 0.500 0.500
0.500 0.000 0.500
0.500 0.500 0.000
```

Calculated values
size of the total moment = 0.0 μB/f.u.
space-group type = P4/mmm


Most stable of them? two.


## one
Entry from Alexandria via LeMat-Bulk: a relaxed SrGaI2O crystal (GGA-PBE).

Structure (POSCAR):
```
SrGaI2O
1.0
6.064 0.000 0.000
0.000 6.064 0.000
0.000 0.000 3.854
Sr Ga I O
1 1 2 1
direct
0.000 0.000 0.000
0.500 0.500 0.500
0.000 0.500 0.500
0.500 0.000 0.500
0.500 0.500 0.000
```

Calculated values
size of the total moment = 0.0 μB/f.u.
space-group type = P4/mmm


## two
Entry from Alexandria via LeMat-Bulk: a relaxed SrGaI2O crystal (GGA-PBE).

Structure (POSCAR):
```
SrGaI2O
1.0
6.501 0.000 0.000
0.000 6.501 0.000
0.000 0.000 4.576
Sr Ga I O
1 1 2 1
direct
0.000 0.000 0.000
0.500 0.500 0.500
0.000 0.500 0.000
0.500 0.000 0.000
0.000 0.000 0.500
```

Calculated values
size of the total moment = 1.0 μB/f.u.
space-group type = P4/mmm


Most stable of them? one.


## one
Entry from Alexandria via LeMat-Bulk: a relaxed SrGaIO2 crystal (GGA-PBE).

Structure (POSCAR):
```
SrGaIO2
1.0
4.269 0.000 0.000
0.000 4.269 0.000
0.000 0.000 5.331
Sr Ga I O
1 1 1 2
direct
0.000 0.000 0.000
0.500 0.500 0.500
0.500 0.500 0.000
0.000 0.500 0.500
0.500 0.000 0.500
```

Calculated values
size of the total moment = 0.0 μB/f.u.
space-group type = P4/mmm


## two
Entry from Alexandria via LeMat-Bulk: a relaxed SrGaIO2 crystal (GGA-PBE).

Structure (POSCAR):
```
SrGaIO2
1.0
4.717 0.000 0.000
0.000 4.717 0.000
0.000 0.000 6.943
Sr Ga I O
1 1 1 2
direct
0.000 0.000 0.000
0.500 0.500 0.500
0.000 0.000 0.500
0.000 0.500 0.000
0.500 0.000 0.000
```

Calculated values
size of the total moment = 2.0 μB/f.u.
space-group type = P4/mmm


Most stable of them? one.


## one
Entry from Alexandria via LeMat-Bulk: a relaxed GaTeIO2 crystal (GGA-PBE).

Structure (POSCAR):
```
GaTeIO2
1.0
4.038 0.000 0.000
0.000 4.038 0.000
0.000 0.000 7.028
Ga Te I O
1 1 1 2
direct
0.000 0.000 0.000
0.500 0.500 0.500
0.000 0.000 0.500
0.000 0.500 0.000
0.500 0.000 0.000
```

Calculated values
size of the total moment = 0.8 μB/f.u.
space-group type = P4/mmm


## two
Entry from Alexandria via LeMat-Bulk: a relaxed GaTeIO2 crystal (GGA-PBE).

Structure (POSCAR):
```
GaTeIO2
1.0
4.214 0.000 0.000
0.000 4.214 0.000
0.000 0.000 6.579
Ga Te I O
1 1 1 2
direct
0.000 0.000 0.000
0.500 0.500 0.500
0.500 0.500 0.000
0.000 0.500 0.500
0.500 0.000 0.500
```

Calculated values
size of the total moment = 0.0 μB/f.u.
space-group type = P4/mmm


Most stable of them? two.


## one
Entry from Alexandria via LeMat-Bulk: a relaxed TlGaI2O crystal (GGA-PBE).

Structure (POSCAR):
```
TlGaI2O
1.0
6.234 0.000 0.000
0.000 6.234 0.000
0.000 0.000 4.139
Tl Ga I O
1 1 2 1
direct
0.000 0.000 0.000
0.500 0.500 0.500
0.000 0.500 0.000
0.500 0.000 0.000
0.000 0.000 0.500
```

Calculated values
size of the total moment = 0.0 μB/f.u.
space-group type = P4/mmm


## two
Entry from Alexandria via LeMat-Bulk: a relaxed TlGaI2O crystal (GGA-PBE).

Structure (POSCAR):
```
TlGaI2O
1.0
6.101 0.000 0.000
0.000 6.101 0.000
0.000 0.000 3.692
Tl Ga I O
1 1 2 1
direct
0.000 0.000 0.000
0.500 0.500 0.500
0.000 0.500 0.500
0.500 0.000 0.500
0.500 0.500 0.000
```

Calculated values
size of the total moment = 0.0 μB/f.u.
space-group type = P4/mmm


Most stable of them? two.


## one
Entry from Alexandria via LeMat-Bulk: a relaxed YGaI2O crystal (GGA-PBE).

Structure (POSCAR):
```
YGaI2O
1.0
6.258 0.000 0.000
0.000 6.258 0.000
0.000 0.000 4.214
Y Ga I O
1 1 2 1
direct
0.000 0.000 0.000
0.500 0.500 0.500
0.000 0.500 0.000
0.500 0.000 0.000
0.000 0.000 0.500
```

Calculated values
size of the total moment = 0.0 μB/f.u.
space-group type = P4/mmm


## two
Entry from Alexandria via LeMat-Bulk: a relaxed YGaI2O crystal (GGA-PBE).

Structure (POSCAR):
```
YGaI2O
1.0
5.970 0.000 0.000
0.000 5.970 0.000
0.000 0.000 3.707
Y Ga I O
1 1 2 1
direct
0.000 0.000 0.000
0.500 0.500 0.500
0.000 0.500 0.500
0.500 0.000 0.500
0.500 0.500 0.000
```

Calculated values
size of the total moment = 0.0 μB/f.u.
space-group type = P4/mmm


Most stable of them? one.


## one
Entry from Alexandria via LeMat-Bulk: a relaxed ZrGaIO2 crystal (GGA-PBE).

Structure (POSCAR):
```
ZrGaIO2
1.0
4.016 0.000 0.000
0.000 4.016 0.000
0.000 0.000 5.360
Zr Ga I O
1 1 1 2
direct
0.000 0.000 0.000
0.500 0.500 0.500
0.500 0.500 0.000
0.000 0.500 0.500
0.500 0.000 0.500
```

Calculated values
size of the total moment = 0.0 μB/f.u.
space-group type = P4/mmm


## two
Entry from Alexandria via LeMat-Bulk: a relaxed ZrGaIO2 crystal (GGA-PBE).

Structure (POSCAR):
```
ZrGaIO2
1.0
4.203 0.000 0.000
0.000 4.203 0.000
0.000 0.000 6.089
Zr Ga I O
1 1 1 2
direct
0.000 0.000 0.000
0.500 0.500 0.500
0.000 0.000 0.500
0.000 0.500 0.000
0.500 0.000 0.000
```

Calculated values
size of the total moment = 0.0 μB/f.u.
space-group type = P4/mmm


Most stable of them? two.


## one
Entry from Alexandria via LeMat-Bulk: a relaxed GaOsI2 crystal (GGA-PBE).

Structure (POSCAR):
```
GaOsI2
1.0
0.000 3.560 3.560
3.560 0.000 3.560
3.560 3.560 0.000
Ga Os I
1 1 2
direct
0.000 0.000 0.000
0.500 0.500 0.500
0.250 0.250 0.250
0.750 0.750 0.750
```

Calculated values
size of the total moment = 0.0 μB/f.u.
space-group type = Fm-3m


## two
Entry from Alexandria via LeMat-Bulk: a relaxed GaOsI2 crystal (GGA-PBE).

Structure (POSCAR):
```
GaOsI2
1.0
-3.515 3.515 5.676
3.515 -3.515 5.676
3.515 3.515 -5.676
Ga Os I
2 2 4
direct
0.000 0.000 0.000
0.750 0.250 0.500
0.250 0.750 0.500
0.500 0.500 0.000
0.198 0.625 0.073
0.375 0.448 0.573
0.552 0.125 0.927
0.875 0.802 0.427
```

Calculated values
size of the total moment = 0.0 μB/f.u.
space-group type = I-42d


Most stable of them? two.


## one
Entry from Alexandria via LeMat-Bulk: a relaxed GaSbOsI2 crystal (GGA-PBE).

Structure (POSCAR):
```
GaSbOsI2
1.0
5.444 0.000 0.000
0.000 5.444 0.000
0.000 0.000 5.500
Ga Sb Os I
1 1 1 2
direct
0.000 0.000 0.000
0.000 0.000 0.500
0.500 0.500 0.500
0.000 0.500 0.000
0.500 0.000 0.000
```

Calculated values
size of the total moment = 3.6 μB/f.u.
space-group type = P4/mmm


## two
Entry from Alexandria via LeMat-Bulk: a relaxed GaSbOsI2 crystal (GGA-PBE).

Structure (POSCAR):
```
GaSbOsI2
1.0
5.693 0.000 0.000
0.000 5.693 0.000
0.000 0.000 4.996
Ga Sb Os I
1 1 1 2
direct
0.000 0.000 0.000
0.500 0.500 0.000
0.500 0.500 0.500
0.000 0.500 0.500
0.500 0.000 0.500
```

Calculated values
size of the total moment = 0.0 μB/f.u.
space-group type = P4/mmm


Most stable of them? two.